[1]
Here is a relaxed CsSn crystal from the Alexandria database. Energies are from PBE-GGA.

a = 11.2501 Å, b = 11.2501 Å, c = 11.2501 Å
α = 90.00°, β = 90.00°, γ = 90.00°
Space group I-43m (No. 217)
One atom of each set of equivalent atoms:
1 Cs 0.2086 0.2086 0.7914 [8 per cell]
2 Sn 0.0939 0.0939 0.0939 [8 per cell]

Calculated values
crystal system: cubic
calculated formation energy: -196 meV/atom

***

[2]
Here is a relaxed CsSn crystal from the Alexandria database. Energies are from PBE-GGA.

a = 10.5519 Å, b = 10.5519 Å, c = 6.6317 Å
α = 90.00°, β = 90.00°, γ = 120.00°
Space group P6_3/mmc (No. 194)
One atom of each set of equivalent atoms:
1 Cs 0.1865 0.3729 0.2500 [6 per cell]
2 Sn 0.1480 0.5740 0.7500 [6 per cell]

Calculated values
crystal system: hexagonal
calculated formation energy: -183 meV/atom

***

[3]
Here is a relaxed Cs2SrSn crystal from the Alexandria database. Energies are from PBE-GGA.

a = 9.3739 Å, b = 9.3739 Å, c = 9.3739 Å
α = 90.00°, β = 90.00°, γ = 90.00°
Space group Fm-3m (No. 225)
One atom of each set of equivalent atoms:
1 Cs 0.2500 0.2500 0.2500 [8 per cell]
2 Sr 0.0000 0.0000 0.0000 [4 per cell]
3 Sn 0.0000 0.0000 0.5000 [4 per cell]

Calculated values
crystal system: cubic
calculated formation energy: 170 meV/atom

***

[4]
Here is a relaxed CsSr2Sn9 crystal from the Alexandria database. Energies are from PBE-GGA.

a = 6.5659 Å, b = 6.5659 Å, c = 31.4502 Å
α = 90.00°, β = 90.00°, γ = 120.00°
Space group R-3m (No. 166, hexagonal axes)
One atom of each set of equivalent atoms:
1 Cs 0.0000 0.0000 0.0000 [3 per cell]
2 Sr 0.0000 0.0000 0.1406 [6 per cell]
3 Sn 0.0000 0.0000 0.3474 [6 per cell]
4 Sn 0.0000 0.0000 0.5000 [3 per cell]
5 Sn 0.0184 0.5092 0.9116 [18 per cell]

Calculated values
crystal system: trigonal
calculated formation energy: -274 meV/atom

***

[5]
Here is a relaxed CsSr2Sn crystal from the Alexandria database. Energies are from PBE-GGA.

a = 8.7514 Å, b = 8.7514 Å, c = 18.0265 Å
α = 90.00°, β = 90.00°, γ = 90.00°
Space group I-42d (No. 122)
One atom of each set of equivalent atoms:
1 Cs 0.0000 0.0000 0.0000 [4 per cell]
2 Sr 0.0036 0.2500 0.6250 [8 per cell]
3 Sn 0.0000 0.0000 0.5000 [4 per cell]

Calculated values
crystal system: tetragonal
calculated formation energy: 97 meV/atom

***

[6]
Here is a relaxed CsSrSn3 crystal from the Alexandria database. Energies are from PBE-GGA.

a = 6.2252 Å, b = 6.2252 Å, c = 6.2252 Å
α = 90.00°, β = 90.00°, γ = 90.00°
Space group Pm-3m (No. 221)
One atom of each set of equivalent atoms:
1 Cs 0.0000 0.0000 0.0000 [1 per cell]
2 Sr 0.5000 0.5000 0.5000 [1 per cell]
3 Sn 0.0000 0.5000 0.5000 [3 per cell]

Calculated values
crystal system: cubic
calculated formation energy: 363 meV/atom

***

[7]
Here is a relaxed CsSrSn4 crystal from the Alexandria database. Energies are from PBE-GGA.

a = 9.2535 Å, b = 9.2535 Å, c = 9.2535 Å
α = 90.00°, β = 90.00°, γ = 90.00°
Space group F-43m (No. 216)
One atom of each set of equivalent atoms:
1 Cs 0.0000 0.0000 0.0000 [4 per cell]
2 Sr 0.2500 0.2500 0.7500 [4 per cell]
3 Sn 0.1242 0.1242 0.3758 [16 per cell]

Calculated values
crystal system: cubic
calculated formation energy: -264 meV/atom

***

[8]
Here is a relaxed CsSrSn3 crystal from the Alexandria database. Energies are from PBE-GGA.

a = 6.1521 Å, b = 6.1521 Å, c = 6.1521 Å
α = 90.00°, β = 90.00°, γ = 90.00°
Space group Pm-3m (No. 221)
One atom of each set of equivalent atoms:
1 Cs 0.0000 0.0000 0.0000 [1 per cell]
2 Sr 0.5000 0.5000 0.5000 [1 per cell]
3 Sn 0.0000 0.0000 0.5000 [3 per cell]

Calculated values
crystal system: cubic
calculated formation energy: 866 meV/atom

***

[9]
Here is a relaxed Cs2SrSn crystal from the Alexandria database. Energies are from PBE-GGA.

a = 5.1923 Å, b = 5.1923 Å, c = 28.6622 Å
α = 90.00°, β = 90.00°, γ = 90.00°
Space group I-42d (No. 122)
One atom of each set of equivalent atoms:
1 Cs 0.2458 0.2500 0.1250 [8 per cell]
2 Sr 0.0000 0.0000 0.5000 [4 per cell]
3 Sn 0.0000 0.0000 0.0000 [4 per cell]

Calculated values
crystal system: tetragonal
calculated formation energy: 92 meV/atom

***

[10]
Here is a relaxed CsSrSn crystal from the Alexandria database. Energies are from PBE-GGA.

a = 4.4813 Å, b = 4.4813 Å, c = 31.4211 Å
α = 90.00°, β = 90.00°, γ = 90.00°
Space group I4/mmm (No. 139)
One atom of each set of equivalent atoms:
1 Cs 0.0000 0.0000 0.0855 [4 per cell]
2 Sr 0.0000 0.0000 0.2099 [4 per cell]
3 Sn 0.0000 0.0000 0.3320 [4 per cell]

Calculated values
crystal system: tetragonal
calculated formation energy: -294 meV/atom

***

[11]
Here is a relaxed Cs2SrSn2Te4 crystal from the Alexandria database. Energies are from PBE-GGA.

a = 19.3921 Å, b = 4.5567 Å, c = 9.7407 Å
α = 90.00°, β = 117.27°, γ = 90.00°
Space group C2/m (No. 12)
One atom of each set of equivalent atoms:
1 Cs 0.1192 0.0000 0.0507 [4 per cell]
2 Sr 0.0000 0.0000 0.5000 [2 per cell]
3 Sn 0.1974 0.5000 0.5432 [4 per cell]
4 Te 0.0418 0.5000 0.2933 [4 per cell]
5 Te 0.1897 0.0000 0.7410 [4 per cell]

Calculated values
energy relative to the elements, uncorrected: -0.91 eV/atom
crystal system: monoclinic

***

[12]
Here is a relaxed CsTa3Sn crystal from the Alexandria database. Energies are from PBE-GGA.

a = 5.0603 Å, b = 5.0603 Å, c = 5.0603 Å
α = 90.00°, β = 90.00°, γ = 90.00°
Space group Pm-3m (No. 221)
One atom of each set of equivalent atoms:
1 Cs 0.0000 0.0000 0.0000 [1 per cell]
2 Ta 0.0000 0.0000 0.5000 [3 per cell]
3 Sn 0.5000 0.5000 0.5000 [1 per cell]

Calculated values
crystal system: cubic
calculated formation energy: 2986 meV/atom